Density functional theory data (GGA-PBE) for an optimized crystal structure of Ac3Ag2Pd7.

The structure in POSCAR format:
```
Ac3Ag2Pd7
1.0
4.224 0.000 0.000
0.000 4.401 -0.001
0.000 -2.188 14.433
Pd Ac Ag
7 3 2
Direct
0.500 0.076 0.150
0.500 0.276 0.551
0.000 0.425 0.853
0.500 0.924 0.850
0.000 0.575 0.147
0.000 0.000 0.000
0.500 0.724 0.449
0.000 0.180 0.361
0.500 0.500 0.000
0.000 0.820 0.639
0.500 0.367 0.735
0.500 0.633 0.265
```

Output
DFT formation energy, eV per formula unit: -6.49
Magnetic moment, μB/cell: 0.000
Polymorph energy (0 for the lowest one), meV per atom: 107.6
Total DFT energy (no corrections), eV per atom: -5.0719